MoPdI3 | PBE-GGA | optimized geometry

It has space group Pm-3m (No. 221), with a = 5.611 Å, b = 5.611 Å, c = 5.611 Å, α = 90.00°, β = 90.00° and γ = 90.00°. The inequivalent atoms are Mo at (0.000, 0.000, 0.000), Pd at (0.500, 0.500, 0.500) and I at (0.000, 0.000, 0.500).

As for the raw formation energy: 0.68 eV/atom. As for the energy above the most stable polymorph in this dataset: 0 meV per atom. As for the density of states at the Fermi level: 10.2 states/eV/f.u.

=====

YInSnBr6 | PBE-GGA | optimized geometry

It has space group P312 (No. 149), with a = 7.5489 Å, b = 7.5489 Å, c = 7.1176 Å, α = 90.00°, β = 90.00° and γ = 120.00°. The inequivalent atoms are Y at (0.0000, 0.0000, 0.0000), In at (0.3333, 0.6667, 0.5000), Sn at (0.6667, 0.3333, 0.0000) and Br at (0.3154, 0.0214, 0.2294).

As for the raw formation energy: -1.25 eV/atom. As for the density of states at the Fermi level: 0.0 states/eV/f.u.

=====

TlCu3Br | PBE-GGA | optimized geometry

It has space group Pm-3m (No. 221), with a = 5.012 Å, b = 5.012 Å, c = 5.012 Å, α = 90.00°, β = 90.00° and γ = 90.00°. The inequivalent atoms are Tl at (0.000, 0.000, 0.000), Cu at (0.000, 0.000, 0.500) and Br at (0.500, 0.500, 0.500).

As for the raw formation energy: 0.87 eV/atom. As for the energy above the most stable polymorph in this dataset: 105 meV per atom. As for the density of states at the Fermi level: 4.5 states/eV/f.u.

=====

BeInN2F | PBE-GGA | optimized geometry

It has space group P4/mmm (No. 123), with a = 4.228 Å, b = 4.228 Å, c = 4.176 Å, α = 90.00°, β = 90.00° and γ = 90.00°. The inequivalent atoms are Be at (0.000, 0.000, 0.000), In at (0.500, 0.500, 0.500), N at (0.000, 0.500, 0.500) and F at (0.500, 0.500, 0.000).

As for the raw formation energy: 1.08 eV/atom. As for the energy above the most stable polymorph in this dataset: 1052 meV per atom. As for the density of states at the Fermi level: 1.8 states/eV/f.u.

=====

SnHg3Pb3 | PBE-GGA | optimized geometry

It has space group P6_3/m (No. 176), with a = 9.1439 Å, b = 9.1439 Å, c = 5.4869 Å, α = 90.00°, β = 90.00° and γ = 120.00°. The inequivalent atoms are Sn at (0.3333, 0.6667, 0.2500), Hg at (0.0443, 0.2262, 0.2500) and Pb at (0.0899, 0.4630, 0.7500).

As for the energy above the most stable polymorph in this dataset: 0 meV per atom. The value obtained for the energy of formation from the pure elements is 0.042 eV per atom. As for the density of states at the Fermi level: 2.8 states/eV/f.u.

=====

K2ZrPbSe4 | PBE-GGA | optimized geometry

It has space group P2/m (No. 10), with a = 7.507 Å, b = 4.162 Å, c = 7.933 Å, α = 90.00°, β = 106.83° and γ = 90.00°. The inequivalent atoms are K at (0.000, 0.000, 0.000), K at (0.500, 0.500, 0.000), Zr at (0.000, 0.500, 0.500), Pb at (0.500, 0.000, 0.500), Se at (0.208, 0.000, 0.698) and Se at (0.230, 0.500, 0.293).

As for the raw formation energy: -1.15 eV/atom.

=====

La4Pr2SmHo | PBE-GGA | optimized geometry

It has space group P2/m (No. 10), with a = 5.234 Å, b = 5.265 Å, c = 10.328 Å, α = 90.00°, β = 90.08° and γ = 90.00°. The inequivalent atoms are La at (0.000, 0.000, 0.248), La at (0.499, 0.500, 0.751), Pr at (0.000, 0.500, 0.000), Pr at (0.500, 0.000, 0.500), Sm at (0.000, 0.500, 0.500) and Ho at (0.500, 0.000, 0.000).

The value obtained for the energy of formation from the pure elements is 0.014 eV per atom. As for the density of states at the Fermi level: 12.7 states/eV/f.u.

=====

YI2NO | PBE-GGA | optimized geometry

It has space group P4/mmm (No. 123), with a = 6.372 Å, b = 6.372 Å, c = 4.126 Å, α = 90.00°, β = 90.00° and γ = 90.00°. The inequivalent atoms are Y at (0.000, 0.000, 0.000), I at (0.000, 0.500, 0.000), N at (0.500, 0.500, 0.500) and O at (0.000, 0.000, 0.500).

As for the raw formation energy: -0.11 eV/atom. As for the energy above the most stable polymorph in this dataset: 0 meV per atom. As for the density of states at the Fermi level: 6.9 states/eV/f.u.

=====

LaGe2Os2 | PBE-GGA | optimized geometry

It has space group P4/mbm (No. 127), with a = 7.640 Å, b = 7.640 Å, c = 3.054 Å, α = 90.00°, β = 90.00° and γ = 90.00°. The inequivalent atoms are La at (0.000, 0.000, 0.000), Ge at (0.151, 0.349, 0.500) and Os at (0.138, 0.638, 0.000).

The value obtained for the energy of formation from the pure elements is 0.104 eV per atom. As for the density of states at the Fermi level: 3.7 states/eV/f.u.

=====

InAgSn | PBE-GGA | optimized geometry

It has space group P1 (No. 1), with a = 4.361 Å, b = 5.409 Å, c = 7.118 Å, α = 77.49°, β = 72.75° and γ = 67.99°. The inequivalent atoms are In at (0.000, 0.000, 0.000), In at (0.411, 0.456, 0.702), Ag at (0.686, 0.875, 0.745), Ag at (0.969, 0.651, 0.385), Sn at (0.240, 0.062, 0.448) and Sn at (0.646, 0.543, 0.131).

The value obtained for the energy of formation from the pure elements is 0.019 eV per atom. As for the density of states at the Fermi level: 0.9 states/eV/f.u.

=====

PaAl11Ag | PBE-GGA | optimized geometry

It has space group C2/m (No. 12), with a = 5.410 Å, b = 12.709 Å, c = 7.071 Å, α = 90.00°, β = 110.58° and γ = 90.00°. The inequivalent atoms are Pa at (0.000, 0.000, 0.000), Al at (0.000, 0.000, 0.500), Al at (0.106, 0.393, 0.212), Al at (0.159, 0.179, 0.350), Al at (0.250, 0.250, 0.000) and Ag at (0.000, 0.500, 0.500).

The value obtained for the energy of formation from the pure elements is -0.055 eV per atom. As for the density of states at the Fermi level: 7.4 states/eV/f.u.

=====

Th2ZnTe | PBE-GGA | optimized geometry

It has space group R-3m (No. 166, hexagonal axes), with a = 4.3644 Å, b = 4.3644 Å, c = 21.8430 Å, α = 90.00°, β = 90.00° and γ = 120.00°. The inequivalent atoms are Th at (0.0000, 0.0000, 0.2411), Zn at (0.0000, 0.0000, 0.5000) and Te at (0.0000, 0.0000, 0.0000).

As for the raw formation energy: -0.53 eV/atom. As for the energy above the most stable polymorph in this dataset: 4 meV per atom. As for the density of states at the Fermi level: 3.4 states/eV/f.u.

=====

Repeat the eleventh record exactly.
PaAl11Ag | PBE-GGA | optimized geometry

It has space group C2/m (No. 12), with a = 5.410 Å, b = 12.709 Å, c = 7.071 Å, α = 90.00°, β = 110.58° and γ = 90.00°. The inequivalent atoms are Pa at (0.000, 0.000, 0.000), Al at (0.000, 0.000, 0.500), Al at (0.106, 0.393, 0.212), Al at (0.159, 0.179, 0.350), Al at (0.250, 0.250, 0.000) and Ag at (0.000, 0.500, 0.500).

The value obtained for the energy of formation from the pure elements is -0.055 eV per atom. As for the density of states at the Fermi level: 7.4 states/eV/f.u.